A relaxed structure of ScAl2Se, computed with PBE-GGA.

Results
E_form (uncorrected) ... -0.38 eV per atom
Spin magnetization ... 0.00 μB/f.u.
SG ... I-4m2, No. 119
Calculated volume ... 75 Å³ per cell
Theoretical density ... 3.951 Mg/m³

Cell lengths 5.1899, 5.1899, 5.1899 Å; angles 132.41, 132.41, 69.59 degrees
Sites, in units of the cell vectors:
Al  0.2500  0.7500  0.5000
Al  0.0000  0.0000  0.0000
Sc  0.5000  0.5000  0.0000
Se  0.7500  0.2500  0.5000